First-principles (PBE-GGA) data for a relaxed LiTlNiPb crystal, as listed in Alexandria.

It has space group F-43m (No. 216), with a = 6.754 Å, b = 6.754 Å, c = 6.754 Å, α = 90.00°, β = 90.00° and γ = 90.00°. The asymmetric unit holds Li at (0.000, 0.000, 0.000), Tl at (0.250, 0.250, 0.250), Ni at (0.000, 0.000, 0.500) and Pb at (0.250, 0.250, 0.750).

For the formation enthalpy at 0 K, the calculation gives 30.8 meV per atom. The energy comes out at -54.59 eV/cell.